Below is a relaxed structure of BePbAu2, with properties calculated at the PBE level.

a = 6.777 Å, b = 6.777 Å, c = 6.777 Å
α = 90.00°, β = 90.00°, γ = 90.00°
Space group F-43m (No. 216)
Unique sites:
Be1 0.000 0.000 0.000 (multiplicity 4)
Pb1 0.250 0.250 0.250 (multiplicity 4)
Au1 0.000 0.000 0.500 (multiplicity 4)
Au2 0.250 0.250 0.750 (multiplicity 4)

Its energy above the most stable polymorph in this dataset is 1.62 eV/f.u. As for the energy of formation from the pure elements: 381 meV per atom. As for the density of states at the Fermi level: 6.6 states/eV/cell.

Below is a relaxed structure of La8Pr3Nd2, with properties calculated at the PBE level.

a = 13.766 Å, b = 11.941 Å, c = 6.329 Å
α = 90.00°, β = 113.89°, γ = 90.00°
Space group C2/m (No. 12)
Unique sites:
La1 0.044 0.000 0.282 (multiplicity 4)
La2 0.140 0.500 0.574 (multiplicity 4)
La3 0.172 0.235 0.167 (multiplicity 8)
Pr1 0.000 0.254 0.500 (multiplicity 4)
Pr2 0.000 0.500 0.000 (multiplicity 2)
Nd1 0.215 0.000 0.801 (multiplicity 4)

Its energy above the most stable polymorph in this dataset is 0.00 eV/f.u. As for the energy of formation from the pure elements: 129 meV per atom. As for the density of states at the Fermi level: 41.6 states/eV/cell.

Below is a relaxed structure of AcPr4Sc, with properties calculated at the PBE level.

a = 5.110 Å, b = 5.110 Å, c = 9.637 Å
α = 90.00°, β = 90.00°, γ = 90.00°
Space group P4/mmm (No. 123)
Unique sites:
Ac1 0.000 0.000 0.000 (multiplicity 1)
Pr1 0.000 0.500 0.301 (multiplicity 4)
Sc1 0.500 0.500 0.500 (multiplicity 1)

As for the energy of formation from the pure elements: 586 meV per atom. As for the density of states at the Fermi level: 9.7 states/eV/cell.

Below is a relaxed structure of Dy3Ho3Pt2, with properties calculated at the PBE level.

a = 3.770 Å, b = 13.167 Å, c = 18.362 Å
α = 90.00°, β = 90.00°, γ = 90.00°
Space group Cmcm (No. 63)
Unique sites:
Dy1 0.000 0.058 0.087 (multiplicity 8)
Dy2 0.000 0.282 0.250 (multiplicity 4)
Ho1 0.000 0.328 0.058 (multiplicity 8)
Ho2 0.000 0.441 0.750 (multiplicity 4)
Pt1 0.000 0.293 0.636 (multiplicity 8)

As for the energy of formation from the pure elements: -608 meV per atom. As for the density of states at the Fermi level: 40.2 states/eV/cell.

Below is a relaxed structure of Zr2InCl, with properties calculated at the PBE level.

a = 5.136 Å, b = 5.136 Å, c = 3.212 Å
α = 90.00°, β = 90.00°, γ = 90.00°
Space group P4/mmm (No. 123)
Unique sites:
Zr1 0.000 0.500 0.000 (multiplicity 2)
In1 0.000 0.000 0.500 (multiplicity 1)
Cl1 0.500 0.500 0.500 (multiplicity 1)

Its energy above the most stable polymorph in this dataset is 1.34 eV/f.u. As for the density of states at the Fermi level: 3.0 states/eV/cell.

Below is a relaxed structure of GaSi2Sb2, with properties calculated at the PBE level.

a = 7.552 Å, b = 7.552 Å, c = 3.805 Å
α = 90.00°, β = 90.00°, γ = 90.00°
Space group P4/mbm (No. 127)
Unique sites:
Ga1 0.000 0.000 0.000 (multiplicity 2)
Si1 0.122 0.378 0.000 (multiplicity 4)
Sb1 0.173 0.673 0.500 (multiplicity 4)

Its energy above the most stable polymorph in this dataset is 0.37 eV/f.u. As for the density of states at the Fermi level: 5.5 states/eV/cell.